Record 1
Material: Rb2PaNi2S4
Method: DFT, PBE
State: relaxed

Cell: 3.8925 7.9061 7.2843 Å, 107.87 105.50 90.00°
Closest atoms and distances in Å follow each position.
Fractional positions:
Ni 0.3188 0.0081 0.6375  4 S 2.30-2.32
Ni 0.6812 0.9919 0.3625  4 S 2.30-2.32
S 0.4765 0.2235 0.9529  1 Ni 2.32
S 0.1986 0.1533 0.3971  3 Ni 2.30-2.32
S 0.8014 0.8467 0.6029  3 Ni 2.30-2.32
S 0.5235 0.7765 0.0471  1 Ni 2.32
Pa 0.0000 0.0000 0.0000  6 S 2.66-2.72
Rb 0.1392 0.5633 0.2783  7 S 3.28-3.60, 1 Ni 3.62
Rb 0.8608 0.4367 0.7217  7 S 3.28-3.60, 1 Ni 3.62

Properties
**Formation energy (no corrections)**: -1133.7 meV per atom
**D(E_F)**: 6.3 states/eV per cell

=====

Record 2
Material: Cu4Pd3Pt
Method: DFT, PBE
State: relaxed

Cell: 2.7873 2.7873 14.2253 Å, 90.00 90.00 90.00°
Closest atoms and distances in Å follow each position.
Fractional positions:
Cu 0.0000 0.0000 0.1256  4 Pd 2.66, 4 Pt 2.66, 4 Cu 2.79
Cu 0.0000 0.0000 0.6244  8 Pd 2.65, 4 Cu 2.79
Cu 0.0000 0.0000 0.8744  4 Pd 2.66, 4 Pt 2.66, 4 Cu 2.79
Cu 0.0000 0.0000 0.3756  8 Pd 2.65, 4 Cu 2.79
Pd 0.5000 0.5000 0.7489  8 Cu 2.65-2.66, 4 Pd 2.79
Pd 0.5000 0.5000 0.5000  8 Cu 2.65, 4 Pd 2.79
Pd 0.5000 0.5000 0.2511  8 Cu 2.65-2.66, 4 Pd 2.79
Pt 0.5000 0.5000 0.0000  8 Cu 2.66, 4 Pt 2.79

Properties
**D(E_F)**: 8.8 states/eV per cell
**Energy of formation from the pure elements**: -86.7 kJ/mol of formula units